DFT (PBE) results for a geometry-optimized GaH3Cl structure.

It has space group Pm-3m (No. 221), with a = 3.704 Å, b = 3.704 Å, c = 3.704 Å, α = 90.00°, β = 90.00° and γ = 90.00°. Symmetry generates all atoms from Ga at (0.000, 0.000, 0.000), H at (0.000, 0.000, 0.500) and Cl at (0.500, 0.500, 0.500).

The calculation puts the excess energy over the best structure of this formula in the dataset at 0.7028 eV/atom. As for the crystal system: cubic.